Compound: SiHgRh
Source: Alexandria
Functional: meta-GGA SCAN
Structure: PBEsol geometry

a b c (Å): 3.1495 3.1495 9.6494
angles (deg): 90.00 90.00 90.00
With the nearest neighbours (Å) after each atom.
Fractional positions:
1 Si 0.0000 0.0000 0.0000  4 Rh 2.41
2 Si 0.5000 0.5000 0.5000  4 Rh 2.41
3 Hg 0.0000 0.0000 0.2976  5 Si 2.87-2.96, 5 Rh 2.88-2.96, 4 Hg 3.15
4 Hg 0.5000 0.5000 0.7976  5 Si 2.87-2.96, 5 Rh 2.88-2.96, 4 Hg 3.15
5 Rh 0.0000 0.0000 0.5958  4 Si 2.41
6 Rh 0.5000 0.5000 0.0958  4 Si 2.41

Symmetry = No. 107
E_form (uncorrected) = -0.14 eV/atom
E_tot = -37.4605 eV per atom
Fermi-level density of states = 0.293 states/eV per atom